(1)
This record from the Alexandria database describes AlAg2TeMo after structural relaxation. The functional is PBE.

a b c (Å): 5.200 5.571 5.200
angles (deg): 90.00 90.00 90.00
Site moments in Bohr magnetons follow the coordinates.
Element x y z (fractional)
Mo (0.500, 0.500, 0.500)  3.75
Te (0.000, 0.000, 0.000)  0.05
Al (0.000, 0.500, 0.000)  -0.02
Ag (0.000, 0.000, 0.500)  0.00
Ag (0.500, 0.000, 0.000)  0.03

The symmetry is P4/mmm (123).

(2)
This record from the Alexandria database describes AlTcB2N after structural relaxation. The functional is PBE.

a b c (Å): 4.002 4.941 4.002
angles (deg): 90.00 90.00 90.00
Site moments in Bohr magnetons follow the coordinates.
Element x y z (fractional)
B (0.000, 0.000, 0.500)  0.01
B (0.500, 0.000, 0.000)  0.03
N (0.500, 0.500, 0.500)  1.49
Tc (0.000, 0.000, 0.000)  0.33
Al (0.000, 0.500, 0.000)  0.00

The symmetry is P4/mmm (123).

(3)
This record from the Alexandria database describes NdTmCl6 after structural relaxation. The functional is PBE.

a b c (Å): 7.157 7.157 6.709
angles (deg): 97.32 97.32 124.03
Element x y z (fractional)
Nd (0.000, 0.000, 0.000)
Tm (0.500, 0.500, 0.500)
Cl (0.596, 0.878, 0.739)
Cl (0.878, 0.596, 0.739)
Cl (0.122, 0.404, 0.261)
Cl (0.404, 0.122, 0.261)
Cl (0.254, 0.254, 0.742)
Cl (0.746, 0.746, 0.258)

The symmetry is C2/m (12).

(4)
This record from the Alexandria database describes TlSb2N after structural relaxation. The functional is PBE.

a b c (Å): 5.676 5.676 7.877
angles (deg): 68.88 68.88 90.00
Element x y z (fractional)
Sb (0.481, 0.125, 0.250)
Sb (0.269, 0.625, 0.250)
Sb (0.375, 0.519, 0.750)
Sb (0.875, 0.731, 0.750)
Tl (0.000, 0.000, 0.000)
Tl (0.750, 0.250, 0.500)
N (0.500, 0.500, 0.000)
N (0.250, 0.750, 0.500)

The symmetry is I-42d (122).

Number 1: formation energy without anion corrections 1.4050 eV per atom, DFT total energy -3.279 eV/atom. Number 2: formation energy without anion corrections 1.7357 eV per atom, DFT total energy -5.422 eV/atom. Number 3: formation energy without anion corrections -2.2450 eV per atom, DFT total energy -4.785 eV/atom. Number 4: formation energy without anion corrections 0.5707 eV per atom, DFT total energy -4.163 eV/atom.